14
Lattice="6.309 0.000 0.000 0.000 5.968 0.000 -2.622 0.000 6.576" Properties=species:S:1:pos:R:3 comment="BaMnVO4 (PBE+U, relaxed)" total_energy_ev_per_atom=-7.280 magmom_total_mub_per_atom=0.857 pbc="T T T"
Ba 0.220 1.492 3.188
Ba 3.466 4.476 3.388
Mn 1.682 1.492 0.161
Mn 2.005 4.476 6.414
V 0.924 4.476 1.025
V 2.763 1.492 5.551
O -1.847 1.492 4.776
O -2.171 4.476 5.891
O 1.989 3.052 1.524
O 1.989 5.900 1.524
O 1.698 0.068 5.052
O 1.698 2.916 5.052
O 5.857 1.492 0.684
O 5.534 4.476 1.800